Record 1
# Er2Ga12Pd | Alexandria via LeMat-Bulk | PBE-GGA | relaxed
data_Er2Ga12Pd
_chemical_formula_sum 'Er4 Ga24 Pd2'
_cell_length_a 6.1206
_cell_length_b 6.1206
_cell_length_c 15.2690
_cell_angle_alpha 90.00
_cell_angle_beta 90.00
_cell_angle_gamma 90.00
_space_group_name_H-M_alt 'P 4/n b m'
_space_group_IT_number 125
loop_
_space_group_symop_operation_xyz
'x,y,z'
'-x,-y,-z'
'-y+1/2,x,z'
'y+1/2,-x,-z'
'-x+1/2,-y+1/2,z'
'x+1/2,y+1/2,-z'
'y,-x+1/2,z'
'-y,x+1/2,-z'
'x,-y+1/2,-z'
'-x,y+1/2,z'
'-y+1/2,-x+1/2,-z'
'y+1/2,x+1/2,z'
'-x+1/2,y,-z'
'x+1/2,-y,z'
'y,x,-z'
'-y,-x,z'
loop_
_atom_site_label
_atom_site_type_symbol
_atom_site_fract_x
_atom_site_fract_y
_atom_site_fract_z
Er1 Er 0.2500 0.7500 0.2413
Ga1 Ga 0.0001 0.9999 0.0914
Ga2 Ga 0.0859 0.5859 0.4308
Ga3 Ga 0.2500 0.2500 0.1895
Ga4 Ga 0.2500 0.2500 0.3483
Pd1 Pd 0.2500 0.7500 0.0000
# Crystal system: tetragonal
# ΔH_f (0 K) in eV per atom: -0.357
# Electronic total energy in eV/atom: -3.733

Record 2
# Er3Ga3Pd | Alexandria via LeMat-Bulk | PBE-GGA | relaxed
data_Er3Ga3Pd
_chemical_formula_sum 'Er12 Ga12 Pd4'
_cell_length_a 10.6180
_cell_length_b 4.3065
_cell_length_c 14.1791
_cell_angle_alpha 90.00
_cell_angle_beta 109.72
_cell_angle_gamma 90.00
_space_group_name_H-M_alt 'C 1 2/m 1'
_space_group_IT_number 12
loop_
_space_group_symop_operation_xyz
'x,y,z'
'-x,-y,-z'
'-x,y,-z'
'x,-y,z'
'x+1/2,y+1/2,z'
'-x+1/2,-y+1/2,-z'
'-x+1/2,y+1/2,-z'
'x+1/2,-y+1/2,z'
loop_
_atom_site_label
_atom_site_type_symbol
_atom_site_fract_x
_atom_site_fract_y
_atom_site_fract_z
Er1 Er 0.0306 0.0000 0.3804
Er2 Er 0.1061 0.0000 0.9253
Er3 Er 0.2378 0.0000 0.2311
Ga1 Ga 0.0248 0.5000 0.2291
Ga2 Ga 0.1101 0.5000 0.0759
Ga3 Ga 0.1332 0.5000 0.5396
Pd1 Pd 0.2449 0.5000 0.3897
# Crystal system: monoclinic
# ΔH_f (0 K) in eV per atom: -0.730
# Electronic total energy in eV/atom: -4.724

Record 3
# ErGa2Pd4 | Alexandria via LeMat-Bulk | PBE-GGA | relaxed
data_ErGa2Pd4
_chemical_formula_sum 'Er4 Ga8 Pd16'
_cell_length_a 19.0949
_cell_length_b 4.3922
_cell_length_c 5.6932
_cell_angle_alpha 90.00
_cell_angle_beta 90.00
_cell_angle_gamma 90.00
_space_group_name_H-M_alt 'P n m a'
_space_group_IT_number 62
loop_
_space_group_symop_operation_xyz
'x,y,z'
'-x,-y,-z'
'-x+1/2,-y,z+1/2'
'x+1/2,y,-z+1/2'
'x+1/2,-y+1/2,-z+1/2'
'-x+1/2,y+1/2,z+1/2'
'-x,y+1/2,-z'
'x,-y+1/2,z'
loop_
_atom_site_label
_atom_site_type_symbol
_atom_site_fract_x
_atom_site_fract_y
_atom_site_fract_z
Er1 Er 0.1214 0.2500 0.0142
Ga1 Ga 0.0398 0.7500 0.3155
Ga2 Ga 0.2184 0.2500 0.5198
Pd1 Pd 0.0274 0.7500 0.8304
Pd2 Pd 0.0865 0.2500 0.5196
Pd3 Pd 0.1772 0.7500 0.2842
Pd4 Pd 0.1783 0.7500 0.7572
# Crystal system: orthorhombic
# Excess energy over the best structure of this formula in the dataset in meV per atom: 0
# ΔH_f (0 K) in eV per atom: -0.769
# Electronic total energy in eV/atom: -5.253

Record 4
# ErGaPd | Alexandria via LeMat-Bulk | PBE-GGA | relaxed
data_ErGaPd
_chemical_formula_sum 'Er4 Ga4 Pd4'
_cell_length_a 6.8071
_cell_length_b 4.4633
_cell_length_c 7.6789
_cell_angle_alpha 90.00
_cell_angle_beta 90.00
_cell_angle_gamma 90.00
_space_group_name_H-M_alt 'P n m a'
_space_group_IT_number 62
loop_
_space_group_symop_operation_xyz
'x,y,z'
'-x,-y,-z'
'-x+1/2,-y,z+1/2'
'x+1/2,y,-z+1/2'
'x+1/2,-y+1/2,-z+1/2'
'-x+1/2,y+1/2,z+1/2'
'-x,y+1/2,-z'
'x,-y+1/2,z'
loop_
_atom_site_label
_atom_site_type_symbol
_atom_site_fract_x
_atom_site_fract_y
_atom_site_fract_z
Er1 Er 0.0155 0.2500 0.2016
Ga1 Ga 0.1793 0.2500 0.5758
Pd1 Pd 0.2242 0.7500 0.4043
# Crystal system: orthorhombic
# ΔH_f (0 K) in eV per atom: -0.898
# Electronic total energy in eV/atom: -5.159

Record 5
# ErGa2Pd7 | Alexandria via LeMat-Bulk | PBE-GGA | relaxed
data_ErGa2Pd7
_chemical_formula_sum 'Er2 Ga4 Pd14'
_cell_length_a 7.3329
_cell_length_b 12.1877
_cell_length_c 4.4875
_cell_angle_alpha 90.00
_cell_angle_beta 90.00
_cell_angle_gamma 90.00
_space_group_name_H-M_alt 'C m m m'
_space_group_IT_number 65
_space_group_name_Hall '-C 2 2'
loop_
_atom_site_label
_atom_site_type_symbol
_atom_site_fract_x
_atom_site_fract_y
_atom_site_fract_z
Er1 Er 0.0000 0.0000 0.0000
Ga1 Ga 0.0000 0.3005 0.5000
Pd1 Pd 0.0000 0.2241 0.0000
Pd2 Pd 0.0000 0.5000 0.5000
Pd3 Pd 0.1875 0.1189 0.5000
# Crystal system: orthorhombic
# Excess energy over the best structure of this formula in the dataset in meV per atom: 375
# ΔH_f (0 K) in eV per atom: -0.303
# Electronic total energy in eV/atom: -5.000

Record 6
# Er4GaPd | Alexandria via LeMat-Bulk | PBE-GGA | relaxed
data_Er4GaPd
_chemical_formula_sum 'Er16 Ga4 Pd4'
_cell_length_a 5.1253
_cell_length_b 20.5983
_cell_length_c 6.2441
_cell_angle_alpha 90.00
_cell_angle_beta 90.00
_cell_angle_gamma 90.00
_space_group_name_H-M_alt 'C m c 21'
_space_group_IT_number 36
loop_
_space_group_symop_operation_xyz
'x,y,z'
'-x,-y,z+1/2'
'-x,y,z'
'x,-y,z+1/2'
'x+1/2,y+1/2,z'
'-x+1/2,-y+1/2,z+1/2'
'-x+1/2,y+1/2,z'
'x+1/2,-y+1/2,z+1/2'
loop_
_atom_site_label
_atom_site_type_symbol
_atom_site_fract_x
_atom_site_fract_y
_atom_site_fract_z
Er1 Er 0.0000 0.0571 0.0000
Er2 Er 0.0000 0.1912 0.2829
Er3 Er 0.0000 0.2112 0.7955
Er4 Er 0.0000 0.3844 0.0587
Ga1 Ga 0.0000 0.3404 0.5350
Pd1 Pd 0.0000 0.0756 0.5068
# Crystal system: orthorhombic
# ΔH_f (0 K) in eV per atom: -0.329
# Electronic total energy in eV/atom: -4.741

Record 7
# ErGaPd | Alexandria via LeMat-Bulk | PBE-GGA | relaxed
data_ErGaPd
_chemical_formula_sum 'Er4 Ga4 Pd4'
_cell_length_a 6.4288
_cell_length_b 6.4288
_cell_length_c 6.4288
_cell_angle_alpha 90.00
_cell_angle_beta 90.00
_cell_angle_gamma 90.00
_space_group_name_H-M_alt 'F -4 3 m'
_space_group_IT_number 216
_space_group_name_Hall 'F -4 2 3'
loop_
_atom_site_label
_atom_site_type_symbol
_atom_site_fract_x
_atom_site_fract_y
_atom_site_fract_z
Er1 Er 0.0000 0.0000 0.0000
Ga1 Ga 0.0000 0.0000 0.5000
Pd1 Pd 0.2500 0.2500 0.7500
# Crystal system: cubic
# ΔH_f (0 K) in eV per atom: -0.679
# Electronic total energy in eV/atom: -4.940

Record 8
# ErGa3Pd4 | Alexandria via LeMat-Bulk | PBE-GGA | relaxed
data_ErGa3Pd4
_chemical_formula_sum 'Er1 Ga3 Pd4'
_cell_length_a 4.1352
_cell_length_b 4.1352
_cell_length_c 8.3051
_cell_angle_alpha 90.00
_cell_angle_beta 90.00
_cell_angle_gamma 90.00
_space_group_name_H-M_alt 'P 4/m m m'
_space_group_IT_number 123
_space_group_name_Hall '-P 4 2'
loop_
_atom_site_label
_atom_site_type_symbol
_atom_site_fract_x
_atom_site_fract_y
_atom_site_fract_z
Er1 Er 0.0000 0.0000 0.0000
Ga1 Ga 0.0000 0.0000 0.5000
Ga2 Ga 0.5000 0.5000 0.1483
Pd1 Pd 0.0000 0.5000 0.3182
# Crystal system: tetragonal
# ΔH_f (0 K) in eV per atom: -0.673
# Electronic total energy in eV/atom: -4.975

These records have calculated volume values of 572.0; 610.3; 477.5; 233.3; 401.1; 659.2; 265.7; 142.0 Å³/cell, in the order they appear.
These records have total magnetic moment values of 0.0; 0.0; 0.0; 0.0; 0.0; 0.0; 0.0; 0.0 μB per formula unit, in the order they appear.
These records have DOS at the Fermi energy values of 4.3; 5.0; 3.0; 1.6; 4.3; 6.1; 3.7; 4.9 states/eV/f.u., in the order they appear.